Entry 1:
Here is Tm2Zn2GaPt5 after structural relaxation from Alexandria via LeMat-Bulk. Energies are from GGA-PBE.

## Properties
For the calculated volume, the calculation gives 344 Å³/cell. Its crystal system is tetragonal. The calculation puts the calculated formation energy at -0.856 eV/atom.

a b c (Å): 3.747 9.582 9.582
angles (deg): 90.00 90.00 90.00
Element x y z (fractional)
Pt (0.500, 0.701, 0.435)
Pt (0.500, 0.500, 0.000)
Pt (0.500, 0.935, 0.201)
Pt (0.500, 0.565, 0.701)
Pt (0.500, 0.435, 0.299)
Pt (0.500, 0.299, 0.565)
Pt (0.500, 0.065, 0.799)
Pt (0.500, 0.000, 0.500)
Pt (0.500, 0.799, 0.935)
Pt (0.500, 0.201, 0.065)
Tm (0.000, 0.174, 0.326)
Tm (0.000, 0.826, 0.674)
Tm (0.000, 0.326, 0.826)
Tm (0.000, 0.674, 0.174)
Ga (0.000, 0.500, 0.500)
Ga (0.000, 0.000, 0.000)
Zn (0.000, 0.124, 0.624)
Zn (0.000, 0.624, 0.876)
Zn (0.000, 0.376, 0.124)
Zn (0.000, 0.876, 0.376)

=====

Entry 2:
Here is TmZnGaPt after structural relaxation from Alexandria via LeMat-Bulk. Energies are from GGA-PBE.

## Properties
For the calculated volume, the calculation gives 71 Å³/cell. Its crystal system is cubic. The calculation puts the calculated formation energy at -0.676 eV/atom.

a b c (Å): 4.651 4.651 4.651
angles (deg): 60.00 60.00 60.00
Element x y z (fractional)
Tm (0.750, 0.750, 0.750)
Pt (0.000, 0.000, 0.000)
Zn (0.500, 0.500, 0.500)
Ga (0.250, 0.250, 0.250)